(1)
# PBE TcAsPd2, optimized geometry
# Total moment (μB/cell): 0.009
# Raw total energy (eV per atom): -6.3525
data_TcAsPd2
_cell_length_a 4.3957
_cell_length_b 4.3957
_cell_length_c 4.3957
_cell_angle_alpha 60.00
_cell_angle_beta 60.00
_cell_angle_gamma 60.00
_space_group_name_H-M_alt 'P 1'
_space_group_IT_number 1
_space_group_name_Hall 'P 1'
loop_
_atom_site_label
_atom_site_fract_x
_atom_site_fract_y
_atom_site_fract_z
Tc1 0.2500 0.2500 0.2500
As1 0.5000 0.5000 0.5000
Pd1 0.7500 0.7500 0.7500
Pd2 0.0000 0.0000 0.0000

(2)
# PBE La2SiAg2Sn, optimized geometry
# Total moment (μB/cell): 0.000
# Raw total energy (eV per atom): -4.7369
data_La2SiAg2Sn
_cell_length_a 4.6658
_cell_length_b 4.6658
_cell_length_c 7.8977
_cell_angle_alpha 90.00
_cell_angle_beta 90.00
_cell_angle_gamma 120.00
_space_group_name_H-M_alt 'P 1'
_space_group_IT_number 1
_space_group_name_Hall 'P 1'
loop_
_atom_site_label
_atom_site_fract_x
_atom_site_fract_y
_atom_site_fract_z
Ag1 0.3333 0.6667 0.4946
Sn1 0.3333 0.6667 0.0410
La1 0.6667 0.3333 0.7519
La2 0.6667 0.3333 0.2707
Si1 0.0000 0.0000 0.5447
Ag2 0.0000 0.0000 0.9779

(3)
# PBE Tm7Pd2S2, optimized geometry
# Total moment (μB/cell): 0.010
# Raw total energy (eV per atom): -5.5546
data_Tm7Pd2S2
_cell_length_a 8.9100
_cell_length_b 8.9100
_cell_length_c 8.9100
_cell_angle_alpha 155.46
_cell_angle_beta 67.63
_cell_angle_gamma 118.09
_space_group_name_H-M_alt 'P 1'
_space_group_IT_number 1
_space_group_name_Hall 'P 1'
loop_
_atom_site_label
_atom_site_fract_x
_atom_site_fract_y
_atom_site_fract_z
S1 0.9816 0.9816 0.0000
Tm1 0.8520 0.7352 0.1168
Tm2 0.6279 0.9468 0.6811
Tm3 0.9457 0.5764 0.3692
Tm4 0.2072 0.5764 0.6308
Tm5 0.3349 0.3349 0.0000
Tm6 0.2657 0.9468 0.3189
Pd1 0.0058 0.2448 0.7610
S2 0.5825 0.0825 0.5000
Pd2 0.4837 0.2448 0.2390
Tm7 0.6184 0.7352 0.8832

(4)
# PBE Zn2GeBrN4, optimized geometry
# Raw total energy (eV per atom): -4.5206
data_Zn2GeBrN4
_cell_length_a 5.8141
_cell_length_b 5.8141
_cell_length_c 5.8141
_cell_angle_alpha 132.56
_cell_angle_beta 132.56
_cell_angle_gamma 69.35
_space_group_name_H-M_alt 'P 1'
_space_group_IT_number 1
_space_group_name_Hall 'P 1'
loop_
_atom_site_label
_atom_site_fract_x
_atom_site_fract_y
_atom_site_fract_z
N1 0.3777 0.3508 0.4436
Zn1 0.0000 0.0000 0.0000
N2 0.6492 0.0928 0.0269
Br1 0.5000 0.5000 0.0000
N3 0.9072 0.9342 0.5564
Zn2 0.2500 0.7500 0.5000
Ge1 0.7500 0.2500 0.5000
N4 0.0658 0.6223 0.9731

(5)
# PBE NbInFeMo, optimized geometry
# Total moment (μB/cell): 1.950
# Energy relative to the lowest polymorph listed for this composition (eV/atom): 0.000
data_NbInFeMo
_cell_length_a 4.5298
_cell_length_b 4.5298
_cell_length_c 4.5298
_cell_angle_alpha 60.00
_cell_angle_beta 60.00
_cell_angle_gamma 60.00
_space_group_name_H-M_alt 'P 1'
_space_group_IT_number 1
_space_group_name_Hall 'P 1'
loop_
_atom_site_label
_atom_site_fract_x
_atom_site_fract_y
_atom_site_fract_z
Mo1 0.2500 0.2500 0.2500
Nb1 0.5000 0.5000 0.5000
In1 0.0000 0.0000 0.0000
Fe1 0.7500 0.7500 0.7500

(6)
# PBE NdGd2Mg3Ir2Pd, optimized geometry
# Total moment (μB/cell): 0.000
# Raw total energy (eV per atom): -5.2891
data_NdGd2Mg3Ir2Pd
_cell_length_a 4.0509
_cell_length_b 7.4464
_cell_length_c 7.4464
_cell_angle_alpha 120.27
_cell_angle_beta 90.00
_cell_angle_gamma 90.00
_space_group_name_H-M_alt 'P 1'
_space_group_IT_number 1
_space_group_name_Hall 'P 1'
loop_
_atom_site_label
_atom_site_fract_x
_atom_site_fract_y
_atom_site_fract_z
Mg1 0.5000 0.2468 0.9981
Mg2 0.5000 0.9981 0.2468
Mg3 0.5000 0.7543 0.7543
Nd1 0.0000 0.4180 0.4180
Pd1 0.0000 0.9965 0.9965
Ir1 0.5000 0.3316 0.6711
Gd1 0.0000 0.9998 0.5839
Gd2 0.0000 0.5839 0.9998
Ir2 0.5000 0.6711 0.3316